[1]
# MgZnN2O PBE optimized geometry
data_MgZnN2O
_cell_length_a 3.8725
_cell_length_b 3.8725
_cell_length_c 3.9925
_cell_angle_alpha 90.00
_cell_angle_beta 90.00
_cell_angle_gamma 90.00
_symmetry_space_group_name_H-M 'P 4/m m m'
_symmetry_Int_Tables_number 123
_symmetry_space_group_name_Hall '-P 4 2'
loop_
_atom_site_label
_atom_site_type_symbol
_atom_site_fract_x
_atom_site_fract_y
_atom_site_fract_z
_atom_site_occupancy
Mg1 Mg 0.0000 0.0000 0.0000 1
Zn1 Zn 0.5000 0.5000 0.5000 1
N1 N 0.0000 0.5000 0.5000 1
O1 O 0.5000 0.5000 0.0000 1
# Electronic total energy = -20.8 eV/cell

[2]
# MgZnN2O PBE optimized geometry
data_MgZnN2O
_cell_length_a 4.1138
_cell_length_b 4.1138
_cell_length_c 3.8076
_cell_angle_alpha 90.00
_cell_angle_beta 90.00
_cell_angle_gamma 90.00
_symmetry_space_group_name_H-M 'P 4/m m m'
_symmetry_Int_Tables_number 123
_symmetry_space_group_name_Hall '-P 4 2'
loop_
_atom_site_label
_atom_site_type_symbol
_atom_site_fract_x
_atom_site_fract_y
_atom_site_fract_z
_atom_site_occupancy
Mg1 Mg 0.0000 0.0000 0.0000 1
Zn1 Zn 0.5000 0.5000 0.5000 1
N1 N 0.0000 0.5000 0.0000 1
O1 O 0.0000 0.0000 0.5000 1
# Electronic total energy = -19.6 eV/cell

[3]
# Mg2OsN PBE optimized geometry
data_Mg2OsN
_cell_length_a 8.3688
_cell_length_b 8.3688
_cell_length_c 3.8172
_cell_angle_alpha 90.00
_cell_angle_beta 90.00
_cell_angle_gamma 90.00
_symmetry_space_group_name_H-M 'I -4 2 d'
_symmetry_Int_Tables_number 122
_symmetry_space_group_name_Hall 'I -4 2bw'
loop_
_atom_site_label
_atom_site_type_symbol
_atom_site_fract_x
_atom_site_fract_y
_atom_site_fract_z
_atom_site_occupancy
Mg1 Mg 0.1007 0.2500 0.1250 1
Os1 Os 0.0000 0.0000 0.5000 1
N1 N 0.0000 0.0000 0.0000 1
# Electronic total energy = -89.3 eV/cell

[4]
# MgOsN3 PBE optimized geometry
data_MgOsN3
_cell_length_a 3.8502
_cell_length_b 3.8502
_cell_length_c 3.8502
_cell_angle_alpha 90.00
_cell_angle_beta 90.00
_cell_angle_gamma 90.00
_symmetry_space_group_name_H-M 'P m -3 m'
_symmetry_Int_Tables_number 221
_symmetry_space_group_name_Hall '-P 4 2 3'
loop_
_atom_site_label
_atom_site_type_symbol
_atom_site_fract_x
_atom_site_fract_y
_atom_site_fract_z
_atom_site_occupancy
Mg1 Mg 0.0000 0.0000 0.0000 1
Os1 Os 0.5000 0.5000 0.5000 1
N1 N 0.0000 0.5000 0.5000 1
# Electronic total energy = -34.8 eV/cell

[5]
# MgOsN3 PBE optimized geometry
data_MgOsN3
_cell_length_a 3.7716
_cell_length_b 3.7716
_cell_length_c 3.7716
_cell_angle_alpha 90.00
_cell_angle_beta 90.00
_cell_angle_gamma 90.00
_symmetry_space_group_name_H-M 'P m -3 m'
_symmetry_Int_Tables_number 221
_symmetry_space_group_name_Hall '-P 4 2 3'
loop_
_atom_site_label
_atom_site_type_symbol
_atom_site_fract_x
_atom_site_fract_y
_atom_site_fract_z
_atom_site_occupancy
Mg1 Mg 0.0000 0.0000 0.0000 1
Os1 Os 0.5000 0.5000 0.5000 1
N1 N 0.0000 0.0000 0.5000 1
# Electronic total energy = -26.1 eV/cell

[6]
# MgOs2N PBE optimized geometry
data_MgOs2N
_cell_length_a 5.9118
_cell_length_b 5.9118
_cell_length_c 5.9118
_cell_angle_alpha 90.00
_cell_angle_beta 90.00
_cell_angle_gamma 90.00
_symmetry_space_group_name_H-M 'F m -3 m'
_symmetry_Int_Tables_number 225
_symmetry_space_group_name_Hall '-F 4 2 3'
loop_
_atom_site_label
_atom_site_type_symbol
_atom_site_fract_x
_atom_site_fract_y
_atom_site_fract_z
_atom_site_occupancy
Mg1 Mg 0.0000 0.0000 0.0000 1
Os1 Os 0.2500 0.2500 0.2500 1
N1 N 0.0000 0.0000 0.5000 1
# ΔE to the lowest computed polymorph = 1212 meV per atom

[7]
# MgOs3N PBE optimized geometry
data_MgOs3N
_cell_length_a 4.0748
_cell_length_b 4.0748
_cell_length_c 4.0748
_cell_angle_alpha 90.00
_cell_angle_beta 90.00
_cell_angle_gamma 90.00
_symmetry_space_group_name_H-M 'P m -3 m'
_symmetry_Int_Tables_number 221
_symmetry_space_group_name_Hall '-P 4 2 3'
loop_
_atom_site_label
_atom_site_type_symbol
_atom_site_fract_x
_atom_site_fract_y
_atom_site_fract_z
_atom_site_occupancy
Mg1 Mg 0.0000 0.0000 0.0000 1
Os1 Os 0.0000 0.5000 0.5000 1
N1 N 0.5000 0.5000 0.5000 1
# ΔE to the lowest computed polymorph = 0 meV per atom

[8]
# MgOs3N PBE optimized geometry
data_MgOs3N
_cell_length_a 4.4511
_cell_length_b 4.4511
_cell_length_c 4.4511
_cell_angle_alpha 90.00
_cell_angle_beta 90.00
_cell_angle_gamma 90.00
_symmetry_space_group_name_H-M 'P m -3 m'
_symmetry_Int_Tables_number 221
_symmetry_space_group_name_Hall '-P 4 2 3'
loop_
_atom_site_label
_atom_site_type_symbol
_atom_site_fract_x
_atom_site_fract_y
_atom_site_fract_z
_atom_site_occupancy
Mg1 Mg 0.0000 0.0000 0.0000 1
Os1 Os 0.0000 0.0000 0.5000 1
N1 N 0.5000 0.5000 0.5000 1
# ΔE to the lowest computed polymorph = 3264 meV per atom

[9]
# MgOs2N PBE optimized geometry
data_MgOs2N
_cell_length_a 6.7235
_cell_length_b 6.7235
_cell_length_c 4.8604
_cell_angle_alpha 90.00
_cell_angle_beta 90.00
_cell_angle_gamma 90.00
_symmetry_space_group_name_H-M 'I -4 2 d'
_symmetry_Int_Tables_number 122
_symmetry_space_group_name_Hall 'I -4 2bw'
loop_
_atom_site_label
_atom_site_type_symbol
_atom_site_fract_x
_atom_site_fract_y
_atom_site_fract_z
_atom_site_occupancy
Mg1 Mg 0.0000 0.0000 0.0000 1
Os1 Os 0.1310 0.2500 0.6250 1
N1 N 0.0000 0.0000 0.5000 1
# ΔE to the lowest computed polymorph = 0 meV per atom

[10]
# MgPa2OsN6 PBE optimized geometry
data_MgPa2OsN6
_cell_length_a 5.3010
_cell_length_b 5.3010
_cell_length_c 5.0027
_cell_angle_alpha 90.00
_cell_angle_beta 90.00
_cell_angle_gamma 90.00
_symmetry_space_group_name_H-M 'P 4 m m'
_symmetry_Int_Tables_number 99
loop_
_symmetry_equiv_pos_as_xyz
'x,y,z'
'-y,x,z'
'-x,-y,z'
'y,-x,z'
'-x,y,z'
'y,x,z'
'x,-y,z'
'-y,-x,z'
loop_
_atom_site_label
_atom_site_type_symbol
_atom_site_fract_x
_atom_site_fract_y
_atom_site_fract_z
_atom_site_occupancy
Mg1 Mg 0.0000 0.0000 0.0000 1
Pa1 Pa 0.0000 0.5000 0.4208 1
Os1 Os 0.5000 0.5000 0.0100 1
N1 N 0.0000 0.0000 0.5866 1
N2 N 0.2600 0.2600 0.1774 1
N3 N 0.5000 0.5000 0.6577 1
# Electronic total energy = -87.9 eV/cell

[11]
# PmMg2OsN4 PBE optimized geometry
data_PmMg2OsN4
_cell_length_a 3.3589
_cell_length_b 11.3533
_cell_length_c 10.8463
_cell_angle_alpha 90.00
_cell_angle_beta 90.00
_cell_angle_gamma 90.00
_symmetry_space_group_name_H-M 'C m c m'
_symmetry_Int_Tables_number 63
_symmetry_space_group_name_Hall '-C 2c 2'
loop_
_atom_site_label
_atom_site_type_symbol
_atom_site_fract_x
_atom_site_fract_y
_atom_site_fract_z
_atom_site_occupancy
Pm1 Pm 0.0000 0.1028 0.2500 1
Mg1 Mg 0.0000 0.3824 0.0284 1
Os1 Os 0.0000 0.1607 0.7500 1
N1 N 0.0000 0.0000 0.0000 1
N2 N 0.0000 0.2737 0.6240 1
N3 N 0.0000 0.4277 0.2500 1
# Electronic total energy = -222.4 eV/cell

[12]
# MgOsRhN2 PBE optimized geometry
data_MgOsRhN2
_cell_length_a 3.7722
_cell_length_b 3.7722
_cell_length_c 5.4973
_cell_angle_alpha 90.00
_cell_angle_beta 90.00
_cell_angle_gamma 90.00
_symmetry_space_group_name_H-M 'P 4/m m m'
_symmetry_Int_Tables_number 123
_symmetry_space_group_name_Hall '-P 4 2'
loop_
_atom_site_label
_atom_site_type_symbol
_atom_site_fract_x
_atom_site_fract_y
_atom_site_fract_z
_atom_site_occupancy
Mg1 Mg 0.0000 0.0000 0.0000 1
Os1 Os 0.0000 0.0000 0.5000 1
Rh1 Rh 0.5000 0.5000 0.0000 1
N1 N 0.0000 0.5000 0.5000 1
# Electronic total energy = -32.3 eV/cell

Copy entry 1 word for word.
# MgZnN2O PBE optimized geometry
data_MgZnN2O
_cell_length_a 3.8725
_cell_length_b 3.8725
_cell_length_c 3.9925
_cell_angle_alpha 90.00
_cell_angle_beta 90.00
_cell_angle_gamma 90.00
_symmetry_space_group_name_H-M 'P 4/m m m'
_symmetry_Int_Tables_number 123
_symmetry_space_group_name_Hall '-P 4 2'
loop_
_atom_site_label
_atom_site_type_symbol
_atom_site_fract_x
_atom_site_fract_y
_atom_site_fract_z
_atom_site_occupancy
Mg1 Mg 0.0000 0.0000 0.0000 1
Zn1 Zn 0.5000 0.5000 0.5000 1
N1 N 0.0000 0.5000 0.5000 1
O1 O 0.5000 0.5000 0.0000 1
# Electronic total energy = -20.8 eV/cell